Record 1
A plane-wave DFT calculation with GGA-PBE was carried out for an optimized crystal structure of CuAgI2.

Lattice parameters (Å, degrees): 5.3279 5.3279 5.3279 60.00 60.00 60.00
Closest atoms and distances in Å follow each position.
Positions (direct):
Cu: 0.0000 0.0000 0.0000  8 I 3.26
Ag: 0.5000 0.5000 0.5000  8 I 3.26
I: 0.2500 0.2500 0.2500  4 Cu 3.26, 4 Ag 3.26
I: 0.7500 0.7500 0.7500  4 Ag 3.26, 4 Cu 3.26

The total energy is -8.57 eV per cell. The crystal system is cubic. Its size of the total moment is 0.0 μB/f.u. The symmetry is Fm-3m (225). The calculation puts the density of states at the Fermi level at 0.4 states/eV/cell. The calculation puts the uncorrected formation energy at 370 meV per atom. The value obtained for the polymorph energy (0 for the lowest one) is 12.99 kcal/mol of atoms.

***

Record 2
A plane-wave DFT calculation with GGA-PBE was carried out for an optimized crystal structure of CuAgI4.

Lattice parameters (Å, degrees): 7.4214 7.4214 8.7893 90.00 90.00 90.00
Closest atoms and distances in Å follow each position.
Positions (direct):
Cu: 0.0000 0.0000 0.0000  4 I 2.58
Cu: 0.0000 0.0000 0.5000  4 I 2.58
Ag: 0.0000 0.5000 0.2500  4 I 2.86
Ag: 0.5000 0.0000 0.7500  4 I 2.86
I: 0.1870 0.2921 0.4733  1 Cu 2.58, 1 Ag 2.86
I: 0.1870 0.7079 0.0267  1 Cu 2.58, 1 Ag 2.86
I: 0.2921 0.1870 0.9733  1 Cu 2.58, 1 Ag 2.86
I: 0.2921 0.8130 0.5267  1 Cu 2.58, 1 Ag 2.86
I: 0.7079 0.1870 0.5267  1 Cu 2.58, 1 Ag 2.86
I: 0.7079 0.8130 0.9733  1 Cu 2.58, 1 Ag 2.86
I: 0.8130 0.2921 0.0267  1 Cu 2.58, 1 Ag 2.86
I: 0.8130 0.7079 0.4733  1 Cu 2.58, 1 Ag 2.86

The total energy is -26.70 eV per cell. The crystal system is tetragonal. Its size of the total moment is 0.0 μB/f.u. The symmetry is P-42c (112). The calculation puts the density of states at the Fermi level at 11.9 states/eV/cell. The calculation puts the uncorrected formation energy at -34 meV per atom. The value obtained for the polymorph energy (0 for the lowest one) is 0.81 kcal/mol of atoms.